No. 1
! Ho5Tm4In | the Alexandria database | PBE | relaxed; values from VASP
! distance to the lowest polymorph of the same formula	68	meV per atom
! symmetry	I4mm (107)
! calculated volume	31.52	Å³ per atom
! magnetic moment	0.000	μB/atom
! crystal system	tetragonal
! E_form	1.44	eV/f.u.
! calculated total energy	-0.309	Ry/atom
&SYSTEM
  ibrav = 0, nat = 10, ntyp = 3
/
ATOMIC_SPECIES
Ho 164.93 Ho.upf
Tm 168.93 Tm.upf
In 114.82 In.upf
CELL_PARAMETERS angstrom
-5.242 5.242 2.867
5.242 -5.242 2.867
5.242 5.242 -2.867
ATOMIC_POSITIONS angstrom
Ho 0.000 0.000 0.000
Ho 3.292 3.292 -1.223
Ho 1.950 -1.950 1.644
Ho -1.950 1.950 1.644
Ho 1.950 1.950 1.644
Tm 5.242 -1.915 1.663
Tm 5.242 1.915 1.663
Tm -1.915 5.242 1.663
Tm 1.915 5.242 1.663
In 0.000 0.000 2.970



No. 2
! Mg2CdIn2Hg7 | the Alexandria database | PBE | relaxed; values from VASP
! symmetry	Cm (8)
! calculated volume	24.68	Å³ per atom
! magnetic moment	0.000	μB/atom
! crystal system	monoclinic
! E_form	-0.25	eV/f.u.
! calculated total energy	-0.073	Ry/atom
&SYSTEM
  ibrav = 0, nat = 12, ntyp = 4
/
ATOMIC_SPECIES
Mg 24.30 Mg.upf
Cd 112.41 Cd.upf
In 114.82 In.upf
Hg 200.59 Hg.upf
CELL_PARAMETERS angstrom
9.934 -2.772 0.000
9.934 2.772 0.000
-1.536 0.000 5.378
ATOMIC_POSITIONS angstrom
Mg 0.000 0.000 0.000
Mg 9.178 0.000 2.644
Cd 14.524 0.000 1.317
In 0.842 0.000 3.126
In 6.799 0.000 4.897
Hg 3.010 0.000 0.851
Hg 3.821 0.000 4.011
Hg 6.168 0.000 1.794
Hg 11.292 0.000 0.359
Hg 12.182 0.000 3.524
Hg 15.330 0.000 4.490
Hg 17.755 0.000 2.283



No. 3
! YTm2ThSc | the Alexandria database | PBE | relaxed; values from VASP
! symmetry	P2_1/m (11)
! calculated volume	29.93	Å³ per atom
! magnetic moment	0.000	μB/atom
! crystal system	monoclinic
! E_form	0.23	eV/f.u.
! calculated total energy	-0.425	Ry/atom
&SYSTEM
  ibrav = 0, nat = 10, ntyp = 4
/
ATOMIC_SPECIES
Y 88.91 Y.upf
Tm 168.93 Tm.upf
Th 232.04 Th.upf
Sc 44.96 Sc.upf
CELL_PARAMETERS angstrom
7.763 0.000 0.000
0.000 4.955 0.000
-0.089 0.000 7.781
ATOMIC_POSITIONS angstrom
Y 1.914 1.239 1.916
Y 5.760 3.716 5.865
Tm 1.146 3.716 7.372
Tm 2.645 3.716 4.293
Tm 5.029 1.239 3.489
Tm 6.528 1.239 0.409
Th 0.362 1.239 5.056
Th 7.312 3.716 2.725
Sc 3.420 1.239 6.625
Sc 4.254 3.716 1.156



No. 4
! SrI | the Alexandria database | PBE | relaxed; values from VASP
! symmetry	P2_12_12_1 (19)
! calculated volume	44.32	Å³ per atom
! magnetic moment	0.000	μB/atom
! crystal system	orthorhombic
! calculated total energy	-0.203	Ry/atom
&SYSTEM
  ibrav = 0, nat = 16, ntyp = 2
/
ATOMIC_SPECIES
Sr 87.62 Sr.upf
I 126.90 I.upf
CELL_PARAMETERS angstrom
7.470 0.000 0.000
0.000 7.874 0.000
0.000 0.000 12.057
ATOMIC_POSITIONS angstrom
Sr 1.157 0.473 2.650
Sr 1.727 3.147 6.289
Sr 2.008 4.727 0.261
Sr 2.578 7.400 8.679
Sr 4.892 3.463 9.407
Sr 5.462 0.790 5.768
Sr 5.743 7.084 11.796
Sr 6.313 4.410 3.378
I 0.674 4.625 9.192
I 0.672 6.447 5.360
I 3.063 1.426 11.389
I 3.061 3.249 3.164
I 4.407 5.363 6.697
I 4.409 7.186 2.865
I 6.796 0.688 8.893
I 6.798 2.511 0.668